The following is a DFT calculation (PBE-GGA) of KBaTa after structural relaxation.

abc: 3.774 3.774 17.665
angles: 90.00 89.97 90.00
Positions (direct):
K 0.623 0.691 0.345
K 0.124 0.191 0.123
Ta 0.632 0.694 0.707
Ta 0.131 0.194 0.761
Ba 0.132 0.193 0.568
Ba 0.631 0.694 0.900

Computed properties:
- E above lowest polymorph (kJ per mole of atoms) = 0.0
- spin magnetization (Bohr magnetons per cell) = 0.0